(1)
A geometry-optimized Ni4SeBr2 structure. Source: OQMD via LeMat-Bulk, functional PBE-GGA.

Geometry as POSCAR:
```
Ni4SeBr2
1.0
4.326 0.000 0.000
0.000 4.326 0.000
0.000 0.000 6.509
Ni Se Br
4 1 2
Cartesian
0.000 2.163 1.307
0.000 2.163 5.202
2.163 0.000 1.307
2.163 0.000 5.202
0.000 0.000 0.000
0.000 0.000 3.255
2.163 2.163 0.000
```

(2)
A geometry-optimized Sm4NiBr5 structure. Source: OQMD via LeMat-Bulk, functional PBE-GGA.

Geometry as POSCAR:
```
Sm4NiBr5
1.0
9.356 -2.000 0.000
9.356 2.000 0.000
-1.991 0.000 8.356
Sm Ni Br
4 1 5
Cartesian
-0.428 0.000 1.797
-1.563 0.000 6.559
4.740 0.000 7.661
11.979 0.000 0.695
9.356 0.000 0.000
2.441 0.000 2.859
1.599 0.000 7.008
8.360 0.000 4.178
15.121 0.000 1.348
14.279 0.000 5.497
```

(3)
A geometry-optimized TbNiBr structure. Source: OQMD via LeMat-Bulk, functional PBE-GGA.

Geometry as POSCAR:
```
TbNiBr
1.0
6.926 0.000 0.000
0.000 3.998 0.000
-2.366 0.000 11.236
Tb Ni Br
4 4 4
Cartesian
0.000 0.000 1.834
1.097 1.999 9.402
3.462 1.999 1.834
4.560 0.000 9.402
-1.212 1.999 11.114
2.308 0.000 0.122
2.251 0.000 11.114
5.771 1.999 0.122
-0.057 0.000 7.497
1.153 1.999 3.739
3.406 1.999 7.497
4.616 0.000 3.739
```

(4)
A geometry-optimized NiTe6Br2 structure. Source: OQMD via LeMat-Bulk, functional PBE-GGA.

Geometry as POSCAR:
```
NiTe6Br2
1.0
4.427 0.000 0.000
1.747 7.452 0.000
0.401 1.079 9.109
Ni Te Br
1 6 2
Cartesian
0.000 0.000 0.000
1.780 4.437 7.592
2.275 6.074 2.066
1.530 1.595 4.548
5.045 6.937 4.561
4.300 2.458 7.043
4.795 4.094 1.518
3.530 7.188 7.822
3.045 1.343 1.288
```

(5)
A geometry-optimized NiTe2Br6 structure. Source: OQMD via LeMat-Bulk, functional PBE-GGA.

Geometry as POSCAR:
```
NiTe2Br6
1.0
4.909 0.000 0.000
-0.761 7.357 0.000
-0.625 -2.900 9.600
Ni Te Br
1 2 6
Cartesian
0.000 0.000 0.000
1.366 1.022 1.804
2.157 3.435 7.795
-0.172 3.064 2.063
0.820 -0.088 4.017
0.838 -1.600 8.370
2.685 6.057 1.229
2.703 4.545 5.582
3.695 1.393 7.537
```

(6)
A geometry-optimized NiTe2Br structure. Source: OQMD via LeMat-Bulk, functional PBE-GGA.

Geometry as POSCAR:
```
NiTe2Br
1.0
3.896 0.000 0.000
1.943 3.380 0.000
1.932 1.087 7.388
Ni Te Br
1 2 1
Cartesian
0.000 0.000 0.000
1.949 1.133 1.251
5.822 3.334 6.137
3.886 2.233 3.694
```

(7)
A geometry-optimized Th4Ni3Br2 structure. Source: OQMD via LeMat-Bulk, functional PBE-GGA.

Geometry as POSCAR:
```
Th4Ni3Br2
1.0
8.530 0.000 0.000
-4.265 7.387 0.000
0.000 0.000 3.407
Th Ni Br
4 3 2
Cartesian
0.000 0.000 0.000
-1.476 2.886 0.000
-1.028 7.222 0.000
2.504 4.666 0.000
1.446 1.745 1.703
6.296 0.380 1.703
5.053 5.262 1.703
0.000 4.925 1.703
4.265 2.462 0.000
```

(8)
A geometry-optimized YTl2NiBr6 structure. Source: OQMD via LeMat-Bulk, functional PBE-GGA.

Geometry as POSCAR:
```
YTl2NiBr6
1.0
0.000 5.405 5.405
5.405 0.000 5.405
5.405 5.405 0.000
Y Tl Ni Br
1 2 1 6
Cartesian
0.000 0.000 0.000
2.703 2.703 2.703
8.108 8.108 8.108
5.405 5.405 5.405
5.405 5.405 2.791
5.405 2.791 5.405
8.020 5.405 5.405
2.791 5.405 5.405
5.405 8.020 5.405
5.405 5.405 8.020
```

(9)
A geometry-optimized ZnNiBr6 structure. Source: OQMD via LeMat-Bulk, functional PBE-GGA.

Geometry as POSCAR:
```
ZnNiBr6
1.0
6.387 0.000 0.000
-3.191 5.536 0.000
-3.187 -1.840 5.670
Zn Ni Br
1 1 6
Cartesian
0.000 0.000 0.000
-3.189 1.848 2.835
-1.194 1.850 1.454
-2.187 0.120 4.216
-2.191 3.581 4.215
2.201 0.115 1.455
2.197 3.576 1.455
1.204 1.846 4.216
```

(10)
A geometry-optimized RbNpBr6 structure. Source: OQMD via LeMat-Bulk, functional PBE-GGA.

Geometry as POSCAR:
```
RbNpBr6
1.0
0.000 6.186 6.186
6.186 0.000 6.186
6.186 6.186 0.000
Rb Np Br
1 1 6
Cartesian
0.000 0.000 0.000
6.186 6.186 6.186
6.186 6.186 3.500
6.186 3.500 6.186
8.872 6.186 6.186
3.500 6.186 6.186
6.186 8.872 6.186
6.186 6.186 8.872
```

(11)
A geometry-optimized NpSe2Br2 structure. Source: OQMD via LeMat-Bulk, functional PBE-GGA.

Geometry as POSCAR:
```
NpSe2Br2
1.0
3.610 -6.493 0.000
3.610 6.493 0.000
-3.009 0.000 6.996
Np Se Br
2 4 4
Cartesian
3.610 4.557 0.000
3.610 -4.557 0.000
0.030 0.000 2.196
1.975 0.000 0.902
2.235 0.000 6.094
4.180 0.000 4.800
-0.717 2.630 5.318
-0.717 -2.630 5.318
4.928 2.630 1.678
4.928 -2.630 1.678
```

(12)
A geometry-optimized NpTl2Br6 structure. Source: OQMD via LeMat-Bulk, functional PBE-GGA.

Geometry as POSCAR:
```
NpTl2Br6
1.0
7.417 0.000 0.000
0.000 7.417 0.000
0.000 0.000 14.050
Np Tl Br
2 4 12
Cartesian
0.000 0.000 0.000
3.709 3.709 7.025
0.000 0.000 4.687
0.000 0.000 9.363
3.709 3.709 2.338
3.709 3.709 11.712
1.358 1.358 2.021
1.358 1.358 12.029
1.748 1.748 7.025
1.961 5.457 0.000
2.351 5.066 5.004
2.351 5.066 9.046
5.066 2.351 5.004
5.066 2.351 9.046
5.457 1.961 0.000
5.670 5.670 7.025
6.060 6.060 2.021
6.060 6.060 12.029
```

Total magnetization in μB/atom, matching the order above: 0.02 0.04 0.02 0.00 0.00 0.00 0.00 0.10 0.00 0.25 0.60 0.34
Electronic total energy in eV/cell, matching the order above: -25.61 -46.47 -60.65 -27.21 -24.65 -14.59 -51.08 -36.79 -18.99 -33.88 -56.19 -75.12